# Ho4Sb2AsP

Crystalline Ho4Sb2AsP at its relaxed geometry (PBE-GGA, Alexandria via LeMat-Bulk).

## Properties
Its total magnetic moment is 0.000 Bohr magnetons per cell. The value obtained for the formation energy from raw total energies is -10.5 eV/f.u. For the total energy, the calculation gives -5.89 eV/atom. Its space group is P2/m.

Lattice parameters (Å, degrees): 4.1765 7.2440 7.3520 109.10 90.00 90.00
Closest atoms and distances in Å follow each position.
Atoms (fractional coordinates):
Ho 0.5000 0.2388 0.2274  2 P 2.87, 1 As 2.91, 3 Sb 3.05-3.08
Ho 0.5000 0.7612 0.7726  2 P 2.87, 1 As 2.91, 3 Sb 3.05-3.08
Ho 0.0000 0.2533 0.7705  1 P 2.87, 2 As 2.90, 3 Sb 3.05-3.08
Ho 0.0000 0.7467 0.2295  1 P 2.87, 2 As 2.90, 3 Sb 3.05-3.08
Sb 0.5000 0.0000 0.5000  6 Ho 3.05
Sb 0.0000 0.5000 0.5000  6 Ho 3.08
As 0.5000 0.5000 0.0000  6 Ho 2.90-2.91
P 0.0000 0.0000 0.0000  6 Ho 2.87